1.
Material: Pr4PPb2
Method: DFT, PBE-GGA
State: optimized geometry

a = 12.229 Å, b = 4.604 Å, c = 9.097 Å
α = 90.00°, β = 121.53°, γ = 90.00°
Space group C2/m (No. 12)
Asymmetric unit:
Pr1 0.080 0.000 0.357 x4
Pr2 0.167 0.500 0.067 x4
P1 0.000 0.000 0.000 x2
Pb1 0.139 0.500 0.663 x4

Summary:
Final energy in Ha/atom: -0.1964

2.
Material: VMoP2
Method: DFT, PBE-GGA
State: optimized geometry

a = 5.966 Å, b = 5.966 Å, c = 5.966 Å
α = 90.00°, β = 90.00°, γ = 90.00°
Space group Fm-3m (No. 225)
Asymmetric unit:
V1 0.000 0.000 0.000 x4
Mo1 0.000 0.000 0.500 x4
P1 0.250 0.250 0.250 x8

Summary:
Final energy in Ha/atom: -0.2976

3.
Material: Tb5Zn4Pt
Method: DFT, PBE-GGA
State: optimized geometry

a = 3.588 Å, b = 3.588 Å, c = 17.622 Å
α = 90.00°, β = 90.00°, γ = 90.00°
Space group P4/mmm (No. 123)
Asymmetric unit:
Tb1 0.000 0.000 0.000 x1
Tb2 0.000 0.000 0.203 x2
Tb3 0.000 0.000 0.405 x2
Zn1 0.500 0.500 0.102 x2
Zn2 0.500 0.500 0.301 x2
Pt1 0.500 0.500 0.500 x1

Summary:
Final energy in Ha/atom: -0.1454

For each record above, in turn, the calculated spin magnetization values are 0.00 1.39 0.00 μB per formula unit.